[1]
# LuAu2 (PBE, optimized geometry)
data_LuAu2
_cell_length_a 8.9722
_cell_length_b 8.9722
_cell_length_c 8.9722
_cell_angle_alpha 60.00
_cell_angle_beta 60.00
_cell_angle_gamma 60.00
_space_group_name_H-M_alt 'P 1'
_space_group_IT_number 1
_space_group_name_Hall 'P 1'
loop_
_atom_site_label
_atom_site_type_symbol
_atom_site_fract_x
_atom_site_fract_y
_atom_site_fract_z
Lu1 Lu 0.1250 0.1250 0.1250
Lu2 Lu 0.8750 0.8750 0.8750
Au1 Au 0.0000 0.0000 0.0000
Au2 Au 0.0000 0.0000 0.5000
Au3 Au 0.0000 0.5000 0.0000
Au4 Au 0.5000 0.0000 0.0000
# space group	Fd-3m (227)



[2]
# Lu2Au (PBE, optimized geometry)
data_Lu2Au
_cell_length_a 6.9427
_cell_length_b 4.8256
_cell_length_c 8.7086
_cell_angle_alpha 90.00
_cell_angle_beta 90.00
_cell_angle_gamma 90.00
_space_group_name_H-M_alt 'P 1'
_space_group_IT_number 1
_space_group_name_Hall 'P 1'
loop_
_atom_site_label
_atom_site_type_symbol
_atom_site_fract_x
_atom_site_fract_y
_atom_site_fract_z
Lu1 Lu 0.0174 0.2500 0.1784
Lu2 Lu 0.1485 0.2500 0.5771
Lu3 Lu 0.3515 0.7500 0.0771
Lu4 Lu 0.4826 0.7500 0.6784
Lu5 Lu 0.5174 0.2500 0.3216
Lu6 Lu 0.6485 0.2500 0.9229
Lu7 Lu 0.8515 0.7500 0.4229
Lu8 Lu 0.9826 0.7500 0.8216
Au1 Au 0.2412 0.2500 0.8983
Au2 Au 0.2588 0.7500 0.3983
Au3 Au 0.7412 0.2500 0.6017
Au4 Au 0.7588 0.7500 0.1017
# space group	Pnma (62)



[3]
# Lu2Au (PBE, optimized geometry)
data_Lu2Au
_cell_length_a 5.9386
_cell_length_b 5.9386
_cell_length_c 5.9386
_cell_angle_alpha 60.00
_cell_angle_beta 60.00
_cell_angle_gamma 60.00
_space_group_name_H-M_alt 'P 1'
_space_group_IT_number 1
_space_group_name_Hall 'P 1'
loop_
_atom_site_label
_atom_site_type_symbol
_atom_site_fract_x
_atom_site_fract_y
_atom_site_fract_z
Lu1 Lu 0.0000 0.0000 0.0000
Lu2 Lu 0.0000 0.0000 0.5000
Lu3 Lu 0.0000 0.5000 0.0000
Lu4 Lu 0.5000 0.0000 0.0000
Au1 Au 0.3750 0.3750 0.3750
Au2 Au 0.6250 0.6250 0.6250
# space group	Fd-3m (227)



Number 1: formation energy from the elements 0.499 eV per atom. Number 2: formation energy from the elements -0.676 eV per atom. Number 3: formation energy from the elements 0.260 eV per atom.